[1]
## Li2ZnCl (PBE)

Data for a relaxed Li2ZnCl crystal.

CIF file:
```
data_Li2ZnCl
_symmetry_space_group_name_H-M 'I -4 2 d'
_symmetry_Int_Tables_number 122
_symmetry_space_group_name_Hall 'I -4 2bw'
_cell_length_a 6.8780
_cell_length_b 6.8780
_cell_length_c 7.0488
_cell_angle_alpha 90.00
_cell_angle_beta 90.00
_cell_angle_gamma 90.00
loop_
_atom_site_label
_atom_site_fract_x
_atom_site_fract_y
_atom_site_fract_z
_atom_site_occupancy
Li1 0.1962 0.2500 0.1250 1
Zn1 0.0000 0.0000 0.5000 1
Cl1 0.0000 0.0000 0.0000 1
```

Calculated values
* ΔE to the lowest computed polymorph: 0.140 eV/atom
* size of the total moment: 0.00 μB/cell
* formation energy (no corrections): -0.6317 eV/atom


[2]
## Ce3Zn2Pd4 (PBE)

Data for a relaxed Ce3Zn2Pd4 crystal.

CIF file:
```
data_Ce3Zn2Pd4
_symmetry_space_group_name_H-M 'C 1 2/m 1'
_symmetry_Int_Tables_number 12
_cell_length_a 10.8344
_cell_length_b 4.5093
_cell_length_c 8.5830
_cell_angle_alpha 90.00
_cell_angle_beta 118.25
_cell_angle_gamma 90.00
loop_
_symmetry_equiv_pos_as_xyz
'x,y,z'
'-x,-y,-z'
'-x,y,-z'
'x,-y,z'
'x+1/2,y+1/2,z'
'-x+1/2,-y+1/2,-z'
'-x+1/2,y+1/2,-z'
'x+1/2,-y+1/2,z'
loop_
_atom_site_label
_atom_site_fract_x
_atom_site_fract_y
_atom_site_fract_z
_atom_site_occupancy
Ce1 0.0000 0.0000 0.0000 1
Ce2 0.1390 0.5000 0.6824 1
Zn1 0.1591 0.5000 0.3286 1
Pd1 0.0719 0.0000 0.3952 1
Pd2 0.2187 0.5000 0.0716 1
```

Calculated values
* E: -5.2191 eV per atom
* size of the total moment: 4.19 μB/cell


[3]
## NaZn3P (PBE)

Data for a relaxed NaZn3P crystal.

CIF file:
```
data_NaZn3P
_symmetry_space_group_name_H-M 'P m -3 m'
_symmetry_Int_Tables_number 221
_symmetry_space_group_name_Hall '-P 4 2 3'
_cell_length_a 4.8584
_cell_length_b 4.8584
_cell_length_c 4.8584
_cell_angle_alpha 90.00
_cell_angle_beta 90.00
_cell_angle_gamma 90.00
loop_
_atom_site_label
_atom_site_fract_x
_atom_site_fract_y
_atom_site_fract_z
_atom_site_occupancy
Na1 0.0000 0.0000 0.0000 1
Zn1 0.0000 0.5000 0.5000 1
P1 0.5000 0.5000 0.5000 1
```

Calculated values
* ΔE to the lowest computed polymorph: 0.000 eV/atom
* size of the total moment: 0.00 μB/cell


[4]
## NiH3 (PBE)

Data for a relaxed NiH3 crystal.

CIF file:
```
data_NiH3
_symmetry_space_group_name_H-M 'P -4 m 2'
_symmetry_Int_Tables_number 115
_cell_length_a 2.6371
_cell_length_b 2.6371
_cell_length_c 2.8946
_cell_angle_alpha 90.00
_cell_angle_beta 90.00
_cell_angle_gamma 90.00
loop_
_symmetry_equiv_pos_as_xyz
'x,y,z'
'y,-x,-z'
'-x,-y,z'
'-y,x,-z'
'-x,y,z'
'-y,-x,-z'
'x,-y,z'
'y,x,-z'
loop_
_atom_site_label
_atom_site_fract_x
_atom_site_fract_y
_atom_site_fract_z
_atom_site_occupancy
Ni1 0.0000 0.0000 0.0000 1
H1 0.0000 0.5000 0.3682 1
H2 0.5000 0.5000 0.0000 1
```

Calculated values
* ΔE to the lowest computed polymorph: 0.112 eV/atom
* size of the total moment: 0.00 μB/cell


[5]
## CsS4O12 (PBE)

Data for a relaxed CsS4O12 crystal.

CIF file:
```
data_CsS4O12
_symmetry_space_group_name_H-M 'I m -3'
_symmetry_Int_Tables_number 204
_symmetry_space_group_name_Hall '-I 2 2 3'
_cell_length_a 7.0824
_cell_length_b 7.0824
_cell_length_c 7.0824
_cell_angle_alpha 90.00
_cell_angle_beta 90.00
_cell_angle_gamma 90.00
loop_
_atom_site_label
_atom_site_fract_x
_atom_site_fract_y
_atom_site_fract_z
_atom_site_occupancy
Cs1 0.0000 0.0000 0.0000 1
S1 0.2500 0.2500 0.2500 1
O1 0.0000 0.2152 0.3106 1
```

Calculated values
* size of the total moment: 0.00 μB/cell
* formation energy (no corrections): 0.1708 eV/atom


[6]
## Cd3P5 (PBE)

Data for a relaxed Cd3P5 crystal.

CIF file:
```
data_Cd3P5
_symmetry_space_group_name_H-M 'C 1 m 1'
_symmetry_Int_Tables_number 8
_cell_length_a 8.6650
_cell_length_b 14.1632
_cell_length_c 7.7937
_cell_angle_alpha 90.00
_cell_angle_beta 115.21
_cell_angle_gamma 90.00
loop_
_symmetry_equiv_pos_as_xyz
'x,y,z'
'x,-y,z'
'x+1/2,y+1/2,z'
'x+1/2,-y+1/2,z'
loop_
_atom_site_label
_atom_site_fract_x
_atom_site_fract_y
_atom_site_fract_z
_atom_site_occupancy
Cd1 0.0000 0.0000 0.0000 1
Cd2 0.0631 0.3674 0.4779 1
Cd3 0.2134 0.0000 0.3778 1
Cd4 0.3840 0.1529 0.7979 1
P1 0.0265 0.4221 0.1426 1
P2 0.0478 0.0000 0.6922 1
P3 0.0761 0.2262 0.6890 1
P4 0.3114 0.4215 0.2134 1
P5 0.3907 0.3816 0.5370 1
P6 0.4889 0.0000 0.6679 1
```

Calculated values
* E: -3.6464 eV per atom
* size of the total moment: 0.00 μB/cell


[7]
## AlTeI3 (PBE)

Data for a relaxed AlTeI3 crystal.

CIF file:
```
data_AlTeI3
_symmetry_space_group_name_H-M 'P m -3 m'
_symmetry_Int_Tables_number 221
_symmetry_space_group_name_Hall '-P 4 2 3'
_cell_length_a 5.6678
_cell_length_b 5.6678
_cell_length_c 5.6678
_cell_angle_alpha 90.00
_cell_angle_beta 90.00
_cell_angle_gamma 90.00
loop_
_atom_site_label
_atom_site_fract_x
_atom_site_fract_y
_atom_site_fract_z
_atom_site_occupancy
Al1 0.0000 0.0000 0.0000 1
Te1 0.5000 0.5000 0.5000 1
I1 0.0000 0.0000 0.5000 1
```

Calculated values
* ΔE to the lowest computed polymorph: 0.000 eV/atom
* size of the total moment: 2.39 μB/cell
* formation energy (no corrections): 0.1144 eV/atom


[8]
## Al2CuW (PBE)

Data for a relaxed Al2CuW crystal.

CIF file:
```
data_Al2CuW
_symmetry_space_group_name_H-M 'P 4 m m'
_symmetry_Int_Tables_number 99
_cell_length_a 2.7184
_cell_length_b 2.7184
_cell_length_c 8.0344
_cell_angle_alpha 90.00
_cell_angle_beta 90.00
_cell_angle_gamma 90.00
loop_
_symmetry_equiv_pos_as_xyz
'x,y,z'
'-y,x,z'
'-x,-y,z'
'y,-x,z'
'-x,y,z'
'y,x,z'
'x,-y,z'
'-y,-x,z'
loop_
_atom_site_label
_atom_site_fract_x
_atom_site_fract_y
_atom_site_fract_z
_atom_site_occupancy
Al1 0.0000 0.0000 0.0000 1
Al2 0.5000 0.5000 0.2735 1
Cu1 0.0000 0.0000 0.4973 1
W1 0.5000 0.5000 0.7447 1
```

Calculated values
* ΔE to the lowest computed polymorph: 0.166 eV/atom
* size of the total moment: 0.00 μB/cell


[9]
## Tm2MgAl (PBE)

Data for a relaxed Tm2MgAl crystal.

CIF file:
```
data_Tm2MgAl
_symmetry_space_group_name_H-M 'F m -3 m'
_symmetry_Int_Tables_number 225
_symmetry_space_group_name_Hall '-F 4 2 3'
_cell_length_a 7.2525
_cell_length_b 7.2525
_cell_length_c 7.2525
_cell_angle_alpha 90.00
_cell_angle_beta 90.00
_cell_angle_gamma 90.00
loop_
_atom_site_label
_atom_site_fract_x
_atom_site_fract_y
_atom_site_fract_z
_atom_site_occupancy
Tm1 0.2500 0.2500 0.2500 1
Mg1 0.0000 0.0000 0.0000 1
Al1 0.0000 0.0000 0.5000 1
```

Calculated values
* ΔE to the lowest computed polymorph: 0.000 eV/atom
* size of the total moment: 0.00 μB/cell


[10]
## InTe2SI (PBE)

Data for a relaxed InTe2SI crystal.

CIF file:
```
data_InTe2SI
_symmetry_space_group_name_H-M 'P 4/m m m'
_symmetry_Int_Tables_number 123
_symmetry_space_group_name_Hall '-P 4 2'
_cell_length_a 5.7666
_cell_length_b 5.7666
_cell_length_c 5.9194
_cell_angle_alpha 90.00
_cell_angle_beta 90.00
_cell_angle_gamma 90.00
loop_
_atom_site_label
_atom_site_fract_x
_atom_site_fract_y
_atom_site_fract_z
_atom_site_occupancy
In1 0.0000 0.0000 0.0000 1
Te1 0.0000 0.5000 0.0000 1
S1 0.5000 0.5000 0.5000 1
I1 0.0000 0.0000 0.5000 1
```

Calculated values
* ΔE to the lowest computed polymorph: 0.496 eV/atom
* size of the total moment: 3.66 μB/cell
* formation energy (no corrections): 0.7324 eV/atom


[11]
## YReO2F (PBE)

Data for a relaxed YReO2F crystal.

CIF file:
```
data_YReO2F
_symmetry_space_group_name_H-M 'P 4/m m m'
_symmetry_Int_Tables_number 123
_symmetry_space_group_name_Hall '-P 4 2'
_cell_length_a 3.7499
_cell_length_b 3.7499
_cell_length_c 5.7235
_cell_angle_alpha 90.00
_cell_angle_beta 90.00
_cell_angle_gamma 90.00
loop_
_atom_site_label
_atom_site_fract_x
_atom_site_fract_y
_atom_site_fract_z
_atom_site_occupancy
Y1 0.0000 0.0000 0.0000 1
Re1 0.5000 0.5000 0.5000 1
O1 0.0000 0.5000 0.5000 1
F1 0.5000 0.5000 0.0000 1
```

Calculated values
* size of the total moment: 0.00 μB/cell
* formation energy (no corrections): -1.4362 eV/atom


[12]
## NbCrReSn2 (PBE)

Data for a relaxed NbCrReSn2 crystal.

CIF file:
```
data_NbCrReSn2
_symmetry_space_group_name_H-M 'P 4/m m m'
_symmetry_Int_Tables_number 123
_symmetry_space_group_name_Hall '-P 4 2'
_cell_length_a 4.9052
_cell_length_b 4.9052
_cell_length_c 4.4898
_cell_angle_alpha 90.00
_cell_angle_beta 90.00
_cell_angle_gamma 90.00
loop_
_atom_site_label
_atom_site_fract_x
_atom_site_fract_y
_atom_site_fract_z
_atom_site_occupancy
Nb1 0.0000 0.0000 0.0000 1
Cr1 0.0000 0.0000 0.5000 1
Re1 0.5000 0.5000 0.0000 1
Sn1 0.0000 0.5000 0.5000 1
```

Calculated values
* E: -6.7012 eV per atom
* size of the total moment: 2.74 μB/cell